## 1
The following is a DFT calculation (PBE-GGA) of an optimized crystal structure of Ta2NiW2.

Results
total magnetic moment = 0.00 μB/cell

Unit cell a=6.4910 b=6.4910 c=4.0497 alpha=90.00 beta=90.00 gamma=90.00
With the nearest neighbours (Å) after each atom.
Fractional positions:
Ni (0.5000, 0.5000, 0.0000)  4 Ta 2.48
Ni (0.0000, 0.0000, 0.0000)  4 Ta 2.48
Ta (0.8537, 0.6463, 0.0000)  2 Ni 2.48, 2 W 2.62, 1 Ta 2.69
Ta (0.6463, 0.1463, 0.0000)  2 Ni 2.48, 2 W 2.62, 1 Ta 2.69
Ta (0.3537, 0.8537, 0.0000)  2 Ni 2.48, 2 W 2.62, 1 Ta 2.69
Ta (0.1463, 0.3537, 0.0000)  2 Ni 2.48, 2 W 2.62, 1 Ta 2.69
W (0.8273, 0.3273, 0.5000)  6 Ta 2.62-2.90
W (0.6727, 0.8273, 0.5000)  6 Ta 2.62-2.90
W (0.1727, 0.6727, 0.5000)  6 Ta 2.62-2.90
W (0.3273, 0.1727, 0.5000)  6 Ta 2.62-2.90

## 2
The following is a DFT calculation (PBE-GGA) of an optimized crystal structure of Ta2NiW2.

Results
total magnetic moment = 0.00 μB/cell

Unit cell a=3.5856 b=3.5856 c=7.4449 alpha=76.07 beta=76.07 gamma=90.00
With the nearest neighbours (Å) after each atom.
Fractional positions:
W (0.7500, 0.2500, 0.5000)  4 W 2.54
W (0.2500, 0.7500, 0.5000)  4 W 2.54
Ta (0.4097, 0.4097, 0.1806)  1 Ta 2.53
Ta (0.5903, 0.5903, 0.8194)  1 Ta 2.53
Ni (0.0000, 0.0000, 0.0000)  8 Ta 2.83

The structure with the greatest stability is 1.

## 1
The following is a DFT calculation (PBE-GGA) of an optimized crystal structure of Ta2Ni2W.

Results
total magnetic moment = 0.00 μB/cell

Unit cell a=7.6403 b=7.6403 c=7.6403 alpha=155.15 beta=155.15 gamma=35.43
With the nearest neighbours (Å) after each atom.
Fractional positions:
Ni (0.7500, 0.2500, 0.5000)  4 Ni 2.32
Ni (0.2500, 0.7500, 0.5000)  4 Ni 2.32
Ta (0.3934, 0.3934, 0.0000)  4 Ni 2.66, 4 W 2.79
Ta (0.6066, 0.6066, 0.0000)  4 Ni 2.66, 4 W 2.79
W (0.0000, 0.0000, 0.0000)  8 Ta 2.79

## 2
The following is a DFT calculation (PBE-GGA) of an optimized crystal structure of Ta2Ni2W.

Results
total magnetic moment = 0.00 μB/cell

Unit cell a=6.9933 b=6.9933 c=3.0443 alpha=90.00 beta=90.00 gamma=90.00
With the nearest neighbours (Å) after each atom.
Fractional positions:
W (0.0000, 0.0000, 0.0000)  4 Ni 2.79, 8 Ta 2.99, 2 W 3.04
W (0.5000, 0.5000, 0.0000)  4 Ni 2.79, 8 Ta 2.99, 2 W 3.04
Ni (0.8796, 0.6204, 0.0000)  1 Ni 2.38, 6 Ta 2.50-2.62
Ni (0.6204, 0.1204, 0.0000)  1 Ni 2.38, 6 Ta 2.50-2.62
Ni (0.3796, 0.8796, 0.0000)  1 Ni 2.38, 6 Ta 2.50-2.62
Ni (0.1204, 0.3796, 0.0000)  1 Ni 2.38, 6 Ta 2.50-2.62
Ta (0.8212, 0.3212, 0.5000)  6 Ni 2.50-2.62
Ta (0.6788, 0.8212, 0.5000)  6 Ni 2.50-2.62
Ta (0.3212, 0.1788, 0.5000)  6 Ni 2.50-2.62
Ta (0.1788, 0.6788, 0.5000)  6 Ni 2.50-2.62

The structure with the greatest stability is 2.

## 1
The following is a DFT calculation (PBE-GGA) of an optimized crystal structure of YTa2Ni.

Results
total magnetic moment = 0.00 μB/cell

Unit cell a=5.7566 b=5.7566 c=2.9874 alpha=79.55 beta=79.55 gamma=124.19
With the nearest neighbours (Å) after each atom.
Fractional positions:
Ta (0.5000, 0.5000, 0.0000)  4 Ta 2.69-2.99, 2 Y 2.99, 2 Ni 2.99
Ta (0.0000, 0.0000, 0.0000)  4 Ta 2.69-2.99, 2 Ni 2.99, 2 Y 2.99
Ni (0.0000, 0.5000, 0.5000)  2 Y 2.69, 2 Ni 2.99, 4 Ta 2.99
Y (0.5000, 0.0000, 0.5000)  2 Ni 2.69, 2 Y 2.99, 4 Ta 2.99

## 2
The following is a DFT calculation (PBE-GGA) of an optimized crystal structure of YTa2Ni.

Results
total magnetic moment = 0.00 μB/cell

Unit cell a=3.1251 b=3.1213 c=8.4306 alpha=68.25 beta=90.00 gamma=90.00
With the nearest neighbours (Å) after each atom.
Fractional positions:
Ni (0.5000, 0.7030, 0.7975)  4 Ta 2.57
Ta (0.5000, 0.2850, 0.2148)  8 Ta 2.94-3.13, 4 Y 3.26, 1 Ni 3.27
Ta (0.0000, 0.0342, 0.9660)  4 Ni 2.57
Y (0.0000, 0.4778, 0.5217)  4 Ni 3.09, 4 Y 3.12-3.13, 4 Ta 3.26

## 3
The following is a DFT calculation (PBE-GGA) of an optimized crystal structure of YTa2Ni.

Results
total magnetic moment = 0.00 μB/cell

Unit cell a=3.8773 b=3.8773 c=10.8927 alpha=79.75 beta=79.75 gamma=90.00
With the nearest neighbours (Å) after each atom.
Fractional positions:
Y (0.0000, 0.0000, 0.0000)  4 Ni 2.74, 4 Ta 2.98
Y (0.7500, 0.2500, 0.5000)  4 Ni 2.74, 4 Ta 2.98
Ta (0.8750, 0.8662, 0.7500)  4 Ta 2.69-2.79, 2 Ni 2.96, 2 Y 2.98
Ta (0.1338, 0.6250, 0.2500)  4 Ta 2.69-2.79, 2 Ni 2.96, 2 Y 2.98
Ta (0.6162, 0.1250, 0.2500)  4 Ta 2.69-2.79, 2 Ni 2.96, 2 Y 2.98
Ta (0.3750, 0.3838, 0.7500)  4 Ta 2.69-2.79, 2 Ni 2.96, 2 Y 2.98
Ni (0.2500, 0.7500, 0.5000)  4 Y 2.74, 4 Ta 2.96
Ni (0.5000, 0.5000, 0.0000)  4 Y 2.74, 4 Ta 2.96

## 4
The following is a DFT calculation (PBE-GGA) of an optimized crystal structure of YTa2Ni.

Results
total magnetic moment = 0.00 μB/cell

Unit cell a=5.1069 b=5.1069 c=5.4886 alpha=74.38 beta=74.38 gamma=35.09
With the nearest neighbours (Å) after each atom.
Fractional positions:
Y (0.4791, 0.4791, 0.5304)  3 Ni 2.89-3.18, 2 Y 3.08, 5 Ta 3.13-3.21
Ni (0.7307, 0.7307, 0.7945)  4 Ta 2.57-2.71
Ta (0.2714, 0.2714, 0.1738)  2 Ni 2.71, 3 Ta 2.79-2.87
Ta (0.0188, 0.0188, 0.0013)  2 Ni 2.57, 3 Ta 2.79-2.87

The structure with the greatest stability is 2.